[1]
A relaxed ZnReRu3 crystal. Source: Alexandria via LeMat-Bulk, functional PBEsol.

Properties
The formation energy is 1.77 eV/atom. As for the crystal system: cubic. For the total magnetization, the calculation gives 0.0 μB per cell. The density of states at the Fermi level comes out at 6.49 states/eV/f.u.

Unit cell a=4.5934 b=4.5934 c=4.5934 alpha=90.00 beta=90.00 gamma=90.00
Closest atoms and distances in Å follow each position.
Space group Pm-3m (No. 221)
Asymmetric unit:
Zn1 0.0000 0.0000 0.0000 x1  12 Ru 3.25
Re1 0.5000 0.5000 0.5000 x1  6 Ru 2.30
Ru1 0.0000 0.5000 0.5000 x3  2 Re 2.30

[2]
A relaxed ZnReRu2 crystal. Source: Alexandria via LeMat-Bulk, functional PBEsol.

Properties
The formation energy is 0.10 eV/atom. As for the crystal system: trigonal. For the total magnetization, the calculation gives 0.0 μB per cell. The density of states at the Fermi level comes out at 3.75 states/eV/f.u.

Unit cell a=2.7004 b=2.7004 c=26.0653 alpha=90.00 beta=90.00 gamma=120.00
Closest atoms and distances in Å follow each position.
Space group R3m (No. 160, hexagonal axes)
Asymmetric unit:
Zn1 0.0000 0.0000 0.0000 x3  3 Ru 2.65, 6 Zn 2.70, 3 Re 2.76
Re1 0.0000 0.0000 0.7539 x3  3 Ru 2.64, 6 Re 2.70, 3 Zn 2.76
Ru1 0.0000 0.0000 0.2509 x3  9 Ru 2.65-2.70, 3 Zn 2.65
Ru2 0.0000 0.0000 0.5021 x3  3 Re 2.64, 9 Ru 2.65-2.70

[3]
A relaxed Zr2ReRu crystal. Source: Alexandria via LeMat-Bulk, functional PBEsol.

Properties
The formation energy is 0.20 eV/atom. As for the crystal system: trigonal. For the total magnetization, the calculation gives 0.0 μB per cell. The density of states at the Fermi level comes out at 5.02 states/eV/f.u.

Unit cell a=2.8396 b=2.8396 c=29.8773 alpha=90.00 beta=90.00 gamma=120.00
Closest atoms and distances in Å follow each position.
Space group R3m (No. 160, hexagonal axes)
Asymmetric unit:
Zr1 0.0000 0.0000 0.0000 x3  6 Zr 2.84, 3 Re 3.04
Zr2 0.0000 0.0000 0.2356 x3  6 Zr 2.84, 3 Ru 2.96
Re1 0.0000 0.0000 0.7522 x3  3 Ru 2.60, 6 Re 2.84
Ru1 0.0000 0.0000 0.4864 x3  3 Re 2.60, 6 Ru 2.84

[4]
A relaxed Zr2ReRu crystal. Source: Alexandria via LeMat-Bulk, functional PBEsol.

Properties
The formation energy is -0.25 eV/atom. As for the crystal system: orthorhombic. For the total magnetization, the calculation gives 0.0 μB per cell. The density of states at the Fermi level comes out at 2.68 states/eV/f.u.

Unit cell a=3.2437 b=4.5086 c=9.3739 alpha=90.00 beta=90.00 gamma=90.00
Closest atoms and distances in Å follow each position.
Space group Imm2 (No. 44)
Asymmetric unit:
Zr1 0.0000 0.0000 0.0000 x2  4 Re 2.78, 2 Ru 2.84, 2 Zr 2.96
Zr2 0.0000 0.5000 0.2365 x2  4 Ru 2.78, 2 Re 2.85, 2 Zr 2.96
Re1 0.0000 0.0000 0.4871 x2  2 Ru 2.76, 6 Zr 2.78-2.85
Ru1 0.0000 0.5000 0.7488 x2  2 Re 2.76, 6 Zr 2.78-2.84

[5]
A relaxed ZrRe3Ru crystal. Source: Alexandria via LeMat-Bulk, functional PBEsol.

Properties
The formation energy is 2.94 eV/atom. As for the crystal system: cubic. For the total magnetization, the calculation gives 0.0 μB per cell. The density of states at the Fermi level comes out at 7.23 states/eV/f.u.

Unit cell a=4.5892 b=4.5892 c=4.5892 alpha=90.00 beta=90.00 gamma=90.00
Closest atoms and distances in Å follow each position.
Space group Pm-3m (No. 221)
Asymmetric unit:
Zr1 0.0000 0.0000 0.0000 x1  6 Re 2.29
Re1 0.0000 0.0000 0.5000 x3  2 Zr 2.29
Ru1 0.5000 0.5000 0.5000 x1  12 Re 3.25

[6]
A relaxed Zr2ReRu crystal. Source: Alexandria via LeMat-Bulk, functional PBEsol.

Properties
The formation energy is -0.11 eV/atom. As for the crystal system: monoclinic. For the total magnetization, the calculation gives 0.0 μB per cell. The density of states at the Fermi level comes out at 3.53 states/eV/f.u.

Unit cell a=2.9087 b=4.3252 c=5.4558 alpha=90.00 beta=97.56 gamma=90.00
Closest atoms and distances in Å follow each position.
Space group P2/m (No. 10)
Asymmetric unit:
Zr1 0.2491 0.0000 0.2488 x2  2 Ru 2.70, 2 Re 2.71, 4 Zr 2.90-2.93
Re1 0.0000 0.5000 0.5000 x1  4 Zr 2.71, 2 Re 2.91, 2 Ru 2.92
Ru1 0.5000 0.5000 0.0000 x1  4 Zr 2.70, 2 Ru 2.91, 2 Re 2.92

[7]
A relaxed Zr2ReRu crystal. Source: Alexandria via LeMat-Bulk, functional PBEsol.

Properties
The formation energy is -0.43 eV/atom. As for the crystal system: tetragonal. For the total magnetization, the calculation gives 0.0 μB per cell. The density of states at the Fermi level comes out at 3.35 states/eV/f.u.

Unit cell a=3.2401 b=3.2401 c=6.5138 alpha=90.00 beta=90.00 gamma=90.00
Closest atoms and distances in Å follow each position.
Space group P4/mmm (No. 123)
Asymmetric unit:
Zr1 0.0000 0.0000 0.2504 x2  4 Ru 2.81, 4 Re 2.81
Re1 0.5000 0.5000 0.0000 x1  8 Zr 2.81
Ru1 0.5000 0.5000 0.5000 x1  8 Zr 2.81

[8]
A relaxed ReSbS3 crystal. Source: Alexandria via LeMat-Bulk, functional PBEsol.

Properties
For the formation energy from raw total energies, the calculation gives 0.264 eV per atom. As for the crystal system: cubic. For the total magnetization, the calculation gives 0.0 μB per cell. The density of states at the Fermi level comes out at 5.72 states/eV/f.u.

Unit cell a=4.6006 b=4.6006 c=4.6006 alpha=90.00 beta=90.00 gamma=90.00
Closest atoms and distances in Å follow each position.
Space group Pm-3m (No. 221)
Asymmetric unit:
Re1 0.0000 0.0000 0.0000 x1  6 S 2.30
Sb1 0.5000 0.5000 0.5000 x1  12 S 3.25
S1 0.0000 0.0000 0.5000 x3  2 Re 2.30